(1)
# PaTiZnRe, relaxed, DFT PBE
data_PaTiZnRe
_chemical_formula_sum 'Pa1 Ti1 Zn1 Re1'
_space_group_name_H-M_alt 'P 1'
_space_group_IT_number 1
_cell_length_a 4.714
_cell_length_b 4.714
_cell_length_c 4.714
_cell_angle_alpha 60.00
_cell_angle_beta 60.00
_cell_angle_gamma 60.00
loop_
_space_group_symop_operation_xyz
'x,y,z'
loop_
_atom_site_label
_atom_site_fract_x
_atom_site_fract_y
_atom_site_fract_z
Pa1 0.750 0.750 0.750
Zn1 0.500 0.500 0.500
Re1 0.000 0.000 0.000
Ti1 0.250 0.250 0.250
# Magnetic moment (μB/atom): 0.113
# ΔE_f (eV/atom): 0.03
# Symmetry: F-43m, No. 216


(2)
# ZrPaTiRe, relaxed, DFT PBE
data_ZrPaTiRe
_chemical_formula_sum 'Zr1 Pa1 Ti1 Re1'
_space_group_name_H-M_alt 'P 1'
_space_group_IT_number 1
_cell_length_a 4.804
_cell_length_b 4.804
_cell_length_c 4.804
_cell_angle_alpha 60.00
_cell_angle_beta 60.00
_cell_angle_gamma 60.00
loop_
_space_group_symop_operation_xyz
'x,y,z'
loop_
_atom_site_label
_atom_site_fract_x
_atom_site_fract_y
_atom_site_fract_z
Re1 0.500 0.500 0.500
Zr1 0.750 0.750 0.750
Pa1 0.250 0.250 0.250
Ti1 0.000 0.000 0.000
# Magnetic moment (μB/atom): 0.001
# ΔE_f (eV/atom): -0.05
# Symmetry: F-43m, No. 216


(3)
# Pa2TlRe, relaxed, DFT PBE
data_Pa2TlRe
_chemical_formula_sum 'Pa2 Tl1 Re1'
_space_group_name_H-M_alt 'P 1'
_space_group_IT_number 1
_cell_length_a 3.226
_cell_length_b 3.226
_cell_length_c 8.966
_cell_angle_alpha 90.00
_cell_angle_beta 90.00
_cell_angle_gamma 90.00
loop_
_space_group_symop_operation_xyz
'x,y,z'
loop_
_atom_site_label
_atom_site_fract_x
_atom_site_fract_y
_atom_site_fract_z
Pa1 0.000 0.000 0.208
Pa2 0.000 0.000 0.792
Re1 0.500 0.500 0.000
Tl1 0.500 0.500 0.500
# Magnetic moment (μB/atom): 0.000
# Energy above the lowest structure with this stoichiometry (kcal/mol of atoms): 0.00
# ΔE_f (eV/atom): -0.06
# Symmetry: P4/mmm, No. 123


(4)
# Pa2TlRe, relaxed, DFT PBE
data_Pa2TlRe
_chemical_formula_sum 'Pa2 Tl1 Re1'
_space_group_name_H-M_alt 'P 1'
_space_group_IT_number 1
_cell_length_a 3.171
_cell_length_b 3.171
_cell_length_c 10.652
_cell_angle_alpha 81.44
_cell_angle_beta 81.44
_cell_angle_gamma 60.00
loop_
_space_group_symop_operation_xyz
'x,y,z'
loop_
_atom_site_label
_atom_site_fract_x
_atom_site_fract_y
_atom_site_fract_z
Pa1 0.739 0.739 0.782
Pa2 0.261 0.261 0.218
Re1 0.000 0.000 0.000
Tl1 0.500 0.500 0.500
# Magnetic moment (μB/atom): 0.000
# Energy above the lowest structure with this stoichiometry (kcal/mol of atoms): 5.64
# ΔE_f (eV/atom): 0.19
# Symmetry: R-3m, No. 166


(5)
# TmPa2Re, relaxed, DFT PBE
data_TmPa2Re
_chemical_formula_sum 'Tm1 Pa2 Re1'
_space_group_name_H-M_alt 'P 1'
_space_group_IT_number 1
_cell_length_a 3.755
_cell_length_b 3.755
_cell_length_c 9.019
_cell_angle_alpha 77.98
_cell_angle_beta 77.98
_cell_angle_gamma 60.00
loop_
_space_group_symop_operation_xyz
'x,y,z'
loop_
_atom_site_label
_atom_site_fract_x
_atom_site_fract_y
_atom_site_fract_z
Pa1 0.269 0.269 0.193
Pa2 0.731 0.731 0.807
Tm1 0.500 0.500 0.500
Re1 0.000 0.000 0.000
# Magnetic moment (μB/atom): 0.000
# Energy above the lowest structure with this stoichiometry (kcal/mol of atoms): 3.80
# ΔE_f (eV/atom): 0.29
# Symmetry: R-3m, No. 166


(6)
# TmPaRe, relaxed, DFT PBE
data_TmPaRe
_chemical_formula_sum 'Tm1 Pa1 Re1'
_space_group_name_H-M_alt 'P 1'
_space_group_IT_number 1
_cell_length_a 3.450
_cell_length_b 3.450
_cell_length_c 6.200
_cell_angle_alpha 106.15
_cell_angle_beta 106.15
_cell_angle_gamma 90.00
loop_
_space_group_symop_operation_xyz
'x,y,z'
loop_
_atom_site_label
_atom_site_fract_x
_atom_site_fract_y
_atom_site_fract_z
Re1 0.319 0.319 0.638
Tm1 0.988 0.988 0.976
Pa1 0.693 0.693 0.387
# Magnetic moment (μB/atom): 0.000
# ΔE_f (eV/atom): -0.02
# Symmetry: I4mm, No. 107


(7)
# TmPa2Re, relaxed, DFT PBE
data_TmPa2Re
_chemical_formula_sum 'Tm1 Pa2 Re1'
_space_group_name_H-M_alt 'P 1'
_space_group_IT_number 1
_cell_length_a 3.304
_cell_length_b 3.304
_cell_length_c 8.886
_cell_angle_alpha 90.00
_cell_angle_beta 90.00
_cell_angle_gamma 90.00
loop_
_space_group_symop_operation_xyz
'x,y,z'
loop_
_atom_site_label
_atom_site_fract_x
_atom_site_fract_y
_atom_site_fract_z
Pa1 0.000 0.000 0.796
Pa2 0.000 0.000 0.204
Re1 0.500 0.500 0.000
Tm1 0.500 0.500 0.500
# Magnetic moment (μB/atom): 0.000
# Energy above the lowest structure with this stoichiometry (kcal/mol of atoms): 0.00
# ΔE_f (eV/atom): 0.13
# Symmetry: P4/mmm, No. 123


(8)
# UPaRe4, relaxed, DFT PBE
data_UPaRe4
_chemical_formula_sum 'U1 Pa1 Re4'
_space_group_name_H-M_alt 'P 1'
_space_group_IT_number 1
_cell_length_a 5.400
_cell_length_b 5.400
_cell_length_c 5.400
_cell_angle_alpha 60.00
_cell_angle_beta 60.00
_cell_angle_gamma 60.00
loop_
_space_group_symop_operation_xyz
'x,y,z'
loop_
_atom_site_label
_atom_site_fract_x
_atom_site_fract_y
_atom_site_fract_z
Re1 0.625 0.125 0.625
Re2 0.125 0.625 0.625
Re3 0.625 0.625 0.125
Re4 0.625 0.625 0.625
Pa1 0.250 0.250 0.250
U1 0.000 0.000 0.000
# Magnetic moment (μB/atom): 0.099
# ΔE_f (eV/atom): -0.04
# Symmetry: F-43m, No. 216


(9)
# UPaRe, relaxed, DFT PBE
data_UPaRe
_chemical_formula_sum 'U1 Pa1 Re1'
_space_group_name_H-M_alt 'P 1'
_space_group_IT_number 1
_cell_length_a 3.491
_cell_length_b 3.491
_cell_length_c 5.479
_cell_angle_alpha 108.58
_cell_angle_beta 108.58
_cell_angle_gamma 90.00
loop_
_space_group_symop_operation_xyz
'x,y,z'
loop_
_atom_site_label
_atom_site_fract_x
_atom_site_fract_y
_atom_site_fract_z
Re1 0.946 0.946 0.892
U1 0.279 0.279 0.558
Pa1 0.625 0.625 0.250
# Magnetic moment (μB/atom): 0.000
# Energy above the lowest structure with this stoichiometry (kcal/mol of atoms): 0.29
# ΔE_f (eV/atom): 0.03
# Symmetry: I4mm, No. 107


(10)
# UPaRe, relaxed, DFT PBE
data_UPaRe
_chemical_formula_sum 'U1 Pa1 Re1'
_space_group_name_H-M_alt 'P 1'
_space_group_IT_number 1
_cell_length_a 3.059
_cell_length_b 4.756
_cell_length_c 4.756
_cell_angle_alpha 120.00
_cell_angle_beta 90.00
_cell_angle_gamma 90.00
loop_
_space_group_symop_operation_xyz
'x,y,z'
loop_
_atom_site_label
_atom_site_fract_x
_atom_site_fract_y
_atom_site_fract_z
U1 0.673 0.667 0.333
Pa1 0.983 0.000 0.000
Re1 0.343 0.333 0.667
# Magnetic moment (μB/atom): 0.319
# Energy above the lowest structure with this stoichiometry (kcal/mol of atoms): 0.00
# ΔE_f (eV/atom): 0.01
# Symmetry: P3m1, No. 156


(11)
# UPa2Re, relaxed, DFT PBE
data_UPa2Re
_chemical_formula_sum 'U1 Pa2 Re1'
_space_group_name_H-M_alt 'P 1'
_space_group_IT_number 1
_cell_length_a 4.925
_cell_length_b 4.925
_cell_length_c 4.925
_cell_angle_alpha 60.00
_cell_angle_beta 60.00
_cell_angle_gamma 60.00
loop_
_space_group_symop_operation_xyz
'x,y,z'
loop_
_atom_site_label
_atom_site_fract_x
_atom_site_fract_y
_atom_site_fract_z
Pa1 0.250 0.250 0.250
Pa2 0.750 0.750 0.750
Re1 0.500 0.500 0.500
U1 0.000 0.000 0.000
# Magnetic moment (μB/atom): 0.924
# Energy above the lowest structure with this stoichiometry (kcal/mol of atoms): 2.83
# ΔE_f (eV/atom): 0.17
# Symmetry: Fm-3m, No. 225


(12)
# UPa2Re, relaxed, DFT PBE
data_UPa2Re
_chemical_formula_sum 'U1 Pa2 Re1'
_space_group_name_H-M_alt 'P 1'
_space_group_IT_number 1
_cell_length_a 3.041
_cell_length_b 3.041
_cell_length_c 10.633
_cell_angle_alpha 81.78
_cell_angle_beta 81.78
_cell_angle_gamma 60.00
loop_
_space_group_symop_operation_xyz
'x,y,z'
loop_
_atom_site_label
_atom_site_fract_x
_atom_site_fract_y
_atom_site_fract_z
U1 0.000 0.000 0.000
Pa1 0.092 0.092 0.724
Pa2 0.908 0.908 0.276
Re1 0.500 0.500 0.500
# Magnetic moment (μB/atom): 0.009
# Energy above the lowest structure with this stoichiometry (kcal/mol of atoms): 5.82
# ΔE_f (eV/atom): 0.30
# Symmetry: R-3m, No. 166